A relaxed structure of GaPt2Rh2. Source: the Alexandria database, functional GGA-PBE.

Cell lengths 6.5668, 6.5668, 3.7701 Å; angles 90.00, 90.00, 90.00 degrees
Last column: nearest neighbours and their distance in Å.
Positions (direct):
Rh 0.1467 0.6467 0.5000  6 Pt 2.69, 1 Rh 2.73
Rh 0.6467 0.8533 0.5000  6 Pt 2.69, 1 Rh 2.73
Rh 0.8533 0.3533 0.5000  6 Pt 2.69, 1 Rh 2.73
Rh 0.3533 0.1467 0.5000  6 Pt 2.69, 1 Rh 2.73
Ga 0.0000 0.0000 0.0000  4 Pt 2.51
Ga 0.5000 0.5000 0.0000  4 Pt 2.51
Pt 0.3538 0.8538 0.0000  2 Ga 2.51, 6 Rh 2.69, 1 Pt 2.71
Pt 0.8538 0.6462 0.0000  2 Ga 2.51, 6 Rh 2.69, 1 Pt 2.71
Pt 0.6462 0.1462 0.0000  2 Ga 2.51, 6 Rh 2.69, 1 Pt 2.71
Pt 0.1462 0.3538 0.0000  2 Ga 2.51, 6 Rh 2.69, 1 Pt 2.71

The formation energy is -0.007 eV per atom. The total magnetization is 0.0 Bohr magnetons per cell. The final energy is -29.8 eV/f.u. Its volume is 162.58 Å³/cell. Its distance to the lowest polymorph of the same formula is 0.028 eV per atom.